# 1
Entry from Alexandria: a geometry-optimized AcAl6Ag3 structure (PBE-GGA).

```
data_AcAl6Ag3
_chemical_formula_sum 'Ac2 Al12 Ag6'
_symmetry_space_group_name_H-M 'P 1 21/m 1'
_symmetry_Int_Tables_number 11
_cell_length_a 9.297
_cell_length_b 4.507
_cell_length_c 10.167
_cell_angle_alpha 90.00
_cell_angle_beta 101.25
_cell_angle_gamma 90.00
loop_
_symmetry_equiv_pos_as_xyz
'x,y,z'
'-x,-y,-z'
'-x,y+1/2,-z'
'x,-y+1/2,z'
loop_
_atom_site_label
_atom_site_fract_x
_atom_site_fract_y
_atom_site_fract_z
_atom_site_occupancy
Ac1 0.200 0.250 0.036 1
Al1 0.081 0.750 0.793 1
Al2 0.119 0.750 0.534 1
Al3 0.186 0.250 0.395 1
Al4 0.376 0.750 0.884 1
Al5 0.456 0.250 0.561 1
Al6 0.475 0.750 0.158 1
Ag1 0.077 0.750 0.261 1
Ag2 0.232 0.250 0.692 1
Ag3 0.456 0.250 0.306 1
```

Summary:
Electronic total energy   -3.606 eV/atom
Total magnetization   0.00 μB per cell
Crystal system   monoclinic
ΔE_f   -0.0945 eV per atom

=====

# 2
Entry from Alexandria: a geometry-optimized PPb2Cl structure (PBE-GGA).

```
data_PPb2Cl
_chemical_formula_sum 'P4 Pb8 Cl4'
_symmetry_space_group_name_H-M 'F -4 3 m'
_symmetry_Int_Tables_number 216
_symmetry_space_group_name_Hall 'F -4 2 3'
_cell_length_a 7.384
_cell_length_b 7.384
_cell_length_c 7.384
_cell_angle_alpha 90.00
_cell_angle_beta 90.00
_cell_angle_gamma 90.00
loop_
_atom_site_label
_atom_site_fract_x
_atom_site_fract_y
_atom_site_fract_z
_atom_site_occupancy
P1 0.000 0.000 0.000 1
Pb1 0.000 0.000 0.500 1
Pb2 0.250 0.250 0.750 1
Cl1 0.250 0.250 0.250 1
```

Summary:
Electronic total energy   -3.467 eV/atom
Formation energy (no corrections)   78 kJ/mol of formula units
Relative energy among the computed polymorphs   635.7 meV per atom
Total magnetization   0.00 μB per cell
Crystal system   cubic